{"formula": "TaHg2Ir", "functional": "PBE-GGA", "state": "optimized geometry", "formation_energy_kj_per_mol_fu": 213, "e_above_lowest_polymorph_mev_per_atom": 505, "lattice_angstrom": [[3.013, 0.000, 0.000], [0.000, 5.064, 0.000], [0.000, 0.000, 9.842]], "species": ["Ta", "Ta", "Hg", "Hg", "Hg", "Hg", "Ir", "Ir"], "frac_coords": [[0.000, 0.000, 0.000], [0.500, 0.500, 0.000], [0.000, 0.500, 0.259], [0.000, 0.500, 0.741], [0.500, 0.000, 0.259], [0.500, 0.000, 0.741], [0.000, 0.000, 0.500], [0.500, 0.500, 0.500]]}

=====

{"formula": "TaHgIr2", "functional": "PBE-GGA", "state": "optimized geometry", "formation_energy_kj_per_mol_fu": 75, "lattice_angstrom": [[2.864, 0.000, 0.000], [-1.432, 2.480, 0.000], [0.000, 0.000, 28.447]], "species": ["Ta", "Ta", "Ta", "Hg", "Hg", "Hg", "Ir", "Ir", "Ir", "Ir", "Ir", "Ir"], "frac_coords": [[0.000, 0.000, 0.000], [0.333, 0.667, 0.667], [0.667, 0.333, 0.333], [0.000, 0.000, 0.758], [0.333, 0.667, 0.425], [0.667, 0.333, 0.091], [0.000, 0.000, 0.255], [0.000, 0.000, 0.510], [0.333, 0.667, 0.177], [0.333, 0.667, 0.921], [0.667, 0.333, 0.588], [0.667, 0.333, 0.843]]}

=====

{"formula": "TaHg2Ir", "functional": "PBE-GGA", "state": "optimized geometry", "formation_energy_kj_per_mol_fu": 204, "e_above_lowest_polymorph_mev_per_atom": 481, "lattice_angstrom": [[6.606, 0.000, 0.000], [0.000, 6.606, 0.000], [0.000, 0.000, 6.606]], "species": ["Ta", "Ta", "Ta", "Ta", "Hg", "Hg", "Hg", "Hg", "Hg", "Hg", "Hg", "Hg", "Ir", "Ir", "Ir", "Ir"], "frac_coords": [[0.000, 0.000, 0.000], [0.000, 0.500, 0.500], [0.500, 0.000, 0.500], [0.500, 0.500, 0.000], [0.250, 0.250, 0.250], [0.250, 0.250, 0.750], [0.250, 0.750, 0.250], [0.250, 0.750, 0.750], [0.750, 0.250, 0.250], [0.750, 0.250, 0.750], [0.750, 0.750, 0.250], [0.750, 0.750, 0.750], [0.000, 0.000, 0.500], [0.000, 0.500, 0.000], [0.500, 0.000, 0.000], [0.500, 0.500, 0.500]]}

=====

{"formula": "Ta2HgIr", "functional": "PBE-GGA", "state": "optimized geometry", "formation_energy_kj_per_mol_fu": 1, "lattice_angstrom": [[5.710, 0.000, 0.000], [0.000, 8.365, 0.000], [0.000, 0.000, 2.907]], "species": ["Ta", "Ta", "Ta", "Ta", "Hg", "Hg", "Ir", "Ir"], "frac_coords": [[0.250, 0.250, 0.000], [0.250, 0.750, 0.000], [0.750, 0.250, 0.000], [0.750, 0.750, 0.000], [0.000, 0.000, 0.500], [0.500, 0.500, 0.500], [0.000, 0.500, 0.500], [0.500, 0.000, 0.500]]}

=====

Spin magnetization, respectively: 0.00, 0.55, 0.00, 0.00 μB/f.u..